Entry from Alexandria: a relaxed structure of In3Ga5Bi12 (PBE).

Properties
V ... 2727 Å³ per cell
Space-group type ... Ia-3d (230)
D(E_F) ... 13.92 states/eV/f.u.
Energy ... -262.7 eV/cell
Calculated formation energy ... 20.5 kJ per mole of atoms

```
data_In3Ga5Bi12
_chemical_formula_sum 'In12 Ga20 Bi48'
_cell_length_a 15.245
_cell_length_b 15.245
_cell_length_c 15.245
_cell_angle_alpha 109.47
_cell_angle_beta 109.47
_cell_angle_gamma 109.47
_symmetry_space_group_name_H-M 'P 1'
_symmetry_Int_Tables_number 1
loop_
_symmetry_equiv_pos_as_xyz
'x,y,z'
loop_
_atom_site_label
_atom_site_type_symbol
_atom_site_fract_x
_atom_site_fract_y
_atom_site_fract_z
In1 In 0.125 0.250 0.375
In2 In 0.125 0.375 0.750
In3 In 0.250 0.375 0.125
In4 In 0.250 0.875 0.625
In5 In 0.375 0.125 0.250
In6 In 0.375 0.750 0.125
In7 In 0.625 0.250 0.875
In8 In 0.625 0.875 0.750
In9 In 0.750 0.125 0.375
In10 In 0.750 0.625 0.875
In11 In 0.875 0.625 0.250
In12 In 0.875 0.750 0.625
Ga1 Ga 0.000 0.000 0.000
Ga2 Ga 0.000 0.000 0.500
Ga3 Ga 0.000 0.500 0.000
Ga4 Ga 0.000 0.500 0.500
Ga5 Ga 0.125 0.750 0.875
Ga6 Ga 0.125 0.875 0.250
Ga7 Ga 0.250 0.125 0.875
Ga8 Ga 0.250 0.625 0.375
Ga9 Ga 0.375 0.250 0.625
Ga10 Ga 0.375 0.625 0.750
Ga11 Ga 0.500 0.000 0.000
Ga12 Ga 0.500 0.000 0.500
Ga13 Ga 0.500 0.500 0.000
Ga14 Ga 0.500 0.500 0.500
Ga15 Ga 0.625 0.375 0.250
Ga16 Ga 0.625 0.750 0.375
Ga17 Ga 0.750 0.375 0.625
Ga18 Ga 0.750 0.875 0.125
Ga19 Ga 0.875 0.125 0.750
Ga20 Ga 0.875 0.250 0.125
Bi1 Bi 0.038 0.221 0.099
Bi2 Bi 0.038 0.318 0.940
Bi3 Bi 0.060 0.599 0.378
Bi4 Bi 0.060 0.962 0.682
Bi5 Bi 0.099 0.038 0.221
Bi6 Bi 0.099 0.560 0.878
Bi7 Bi 0.122 0.721 0.682
Bi8 Bi 0.122 0.901 0.440
Bi9 Bi 0.182 0.221 0.622
Bi10 Bi 0.182 0.462 0.560
Bi11 Bi 0.221 0.099 0.038
Bi12 Bi 0.221 0.622 0.182
Bi13 Bi 0.279 0.318 0.878
Bi14 Bi 0.279 0.462 0.401
Bi15 Bi 0.318 0.878 0.279
Bi16 Bi 0.318 0.940 0.038
Bi17 Bi 0.378 0.060 0.599
Bi18 Bi 0.378 0.818 0.779
Bi19 Bi 0.401 0.279 0.462
Bi20 Bi 0.401 0.622 0.940
Bi21 Bi 0.440 0.122 0.901
Bi22 Bi 0.440 0.818 0.538
Bi23 Bi 0.462 0.401 0.279
Bi24 Bi 0.462 0.560 0.182
Bi25 Bi 0.538 0.440 0.818
Bi26 Bi 0.538 0.599 0.721
Bi27 Bi 0.560 0.182 0.462
Bi28 Bi 0.560 0.878 0.099
Bi29 Bi 0.599 0.378 0.060
Bi30 Bi 0.599 0.721 0.538
Bi31 Bi 0.622 0.182 0.221
Bi32 Bi 0.622 0.940 0.401
Bi33 Bi 0.682 0.060 0.962
Bi34 Bi 0.682 0.122 0.721
Bi35 Bi 0.721 0.538 0.599
Bi36 Bi 0.721 0.682 0.122
Bi37 Bi 0.779 0.378 0.818
Bi38 Bi 0.779 0.901 0.962
Bi39 Bi 0.818 0.538 0.440
Bi40 Bi 0.818 0.779 0.378
Bi41 Bi 0.878 0.099 0.560
Bi42 Bi 0.878 0.279 0.318
Bi43 Bi 0.901 0.440 0.122
Bi44 Bi 0.901 0.962 0.779
Bi45 Bi 0.940 0.038 0.318
Bi46 Bi 0.940 0.401 0.622
Bi47 Bi 0.962 0.682 0.060
Bi48 Bi 0.962 0.779 0.901
```